DFT (GGA-PBE) results for Eu2TeSe after structural relaxation.

* calculated volume: 31.7 Å³/atom
* ΔE_f (raw): -1.85 eV/atom
* E: -8.641 eV/atom
* space-group type: R-3m, No. 166
* Fermi-level density of states: 62.5 states/eV/cell

Unit cell a=4.471 b=4.471 c=22.001 alpha=90.00 beta=90.00 gamma=120.00
Fractional coordinates of all 12 atoms:
Eu (0.000, 0.000, 0.244)
Eu (0.000, 0.000, 0.756)
Eu (0.333, 0.667, 0.422)
Eu (0.333, 0.667, 0.911)
Eu (0.667, 0.333, 0.089)
Eu (0.667, 0.333, 0.578)
Te (0.000, 0.000, 0.000)
Te (0.333, 0.667, 0.667)
Te (0.667, 0.333, 0.333)
Se (0.000, 0.000, 0.500)
Se (0.333, 0.667, 0.167)
Se (0.667, 0.333, 0.833)